Sm2NbP3: optimized geometry, PBE.

a = 3.901 Å, b = 3.901 Å, c = 9.591 Å
α = 90.00°, β = 90.00°, γ = 120.00°
Positions (direct):
Sm1 0.333 0.667 0.319
Sm2 0.667 0.333 0.681
Nb1 0.000 0.000 0.000
P1 0.000 0.000 0.500
P2 0.333 0.667 0.861
P3 0.667 0.333 0.139

**ρ**: 6.393 g/cm³
**Space group**: P-3m1
**Crystal system**: trigonal
**Total moment**: 0.0 μB/f.u.
**Electronic total energy**: -7.20 eV/atom



TbFeCo: optimized geometry, PBE.

a = 4.259 Å, b = 4.259 Å, c = 4.259 Å
α = 60.00°, β = 60.00°, γ = 60.00°
Positions (direct):
Tb1 0.000 0.000 0.000
Fe1 0.750 0.750 0.750
Co1 0.500 0.500 0.500

**ρ**: 8.319 g/cm³
**Energy relative to the elements**: 0.40 eV/atom
**Space group**: F-43m
**Crystal system**: cubic
**Total moment**: 3.4 μB/f.u.



HoMgSi2O6: optimized geometry, PBE.

a = 6.614 Å, b = 6.614 Å, c = 5.252 Å
α = 100.98°, β = 100.98°, γ = 85.44°
Positions (direct):
Ho1 0.196 0.804 0.750
Ho2 0.804 0.196 0.250
Mg1 0.410 0.590 0.250
Mg2 0.590 0.410 0.750
Si1 0.115 0.314 0.771
Si2 0.314 0.115 0.271
Si3 0.686 0.885 0.729
Si4 0.885 0.686 0.229
O1 0.124 0.625 0.335
O2 0.135 0.158 0.997
O3 0.158 0.135 0.497
O4 0.301 0.472 0.854
O5 0.375 0.876 0.165
O6 0.472 0.301 0.354
O7 0.528 0.699 0.646
O8 0.625 0.124 0.835
O9 0.699 0.528 0.146
O10 0.842 0.865 0.503
O11 0.865 0.842 0.003
O12 0.876 0.375 0.665

**ρ**: 5.126 g/cm³
**Space group**: C2/c
**Crystal system**: monoclinic
**Total moment**: 0.7 μB/f.u.
**Electronic total energy**: -7.39 eV/atom



TbGdIn4Ir2: optimized geometry, PBE.

a = 8.037 Å, b = 5.554 Å, c = 5.554 Å
α = 46.06°, β = 90.00°, γ = 90.00°
Positions (direct):
Tb1 0.000 0.000 0.000
Gd1 0.500 0.142 0.142
In1 0.199 0.714 0.714
In2 0.300 0.428 0.428
In3 0.700 0.428 0.428
In4 0.801 0.714 0.714
Ir1 0.000 0.291 0.291
Ir2 0.500 0.851 0.851

**ρ**: 10.790 g/cm³
**Space group**: Amm2
**Crystal system**: orthorhombic
**Total moment**: 0.0 μB/f.u.
**Electronic total energy**: -5.29 eV/atom